(1)
## Ac5AlGa2 (PBE)

Data for crystalline Ac5AlGa2 at its relaxed geometry.

Values from the calculation:
Formation energy   -0.32 eV/atom
Raw total energy   -4.114 eV/atom
Spin magnetization   0.000 μB per atom

Unit cell a=9.9679 b=9.9679 c=9.9679 alpha=130.93 beta=130.93 gamma=71.92
Closest atoms and distances in Å follow each position.
Fractional coordinates of all 16 atoms:
Ac 0.0000 0.0000 0.0000  4 Ga 3.34
Ac 0.0271 0.5271 0.8485  3 Ga 3.40-3.44, 2 Al 3.48, 1 Ac 3.76
Ac 0.1786 0.0271 0.5000  3 Ga 3.40-3.44, 2 Al 3.48, 1 Ac 3.76
Ac 0.3214 0.8214 0.8485  3 Ga 3.40-3.44, 2 Al 3.48, 1 Ac 3.76
Ac 0.4729 0.3214 0.5000  3 Ga 3.40-3.44, 2 Al 3.48, 1 Ac 3.76
Ac 0.5000 0.5000 0.0000  4 Ga 3.34
Ac 0.5271 0.6786 0.5000  3 Ga 3.40-3.44, 2 Al 3.48, 1 Ac 3.76
Ac 0.6786 0.1786 0.1515  3 Ga 3.40-3.44, 2 Al 3.48, 1 Ac 3.76
Ac 0.8214 0.9729 0.5000  3 Ga 3.40-3.44, 2 Al 3.48, 1 Ac 3.76
Ac 0.9729 0.4729 0.1515  3 Ga 3.40-3.44, 2 Al 3.48, 1 Ac 3.76
Al 0.2500 0.2500 0.0000  8 Ac 3.48
Al 0.7500 0.7500 0.0000  8 Ac 3.48
Ga 0.1132 0.3868 0.5000  1 Ga 2.65
Ga 0.3868 0.8868 0.2737  1 Ga 2.65
Ga 0.6132 0.1132 0.7263  1 Ga 2.65
Ga 0.8868 0.6132 0.5000  1 Ga 2.65

***

(2)
## Ac2AlGa2 (PBE)

Data for crystalline Ac2AlGa2 at its relaxed geometry.

Values from the calculation:
Formation energy   -0.51 eV/atom
Energy above the most stable polymorph in this dataset   0.0 meV per atom
Raw total energy   -4.109 eV/atom
Spin magnetization   0.000 μB per atom

Unit cell a=6.4749 b=6.4749 c=11.2479 alpha=115.98 beta=115.98 gamma=41.80
Closest atoms and distances in Å follow each position.
Fractional coordinates of all 10 atoms:
Ac 0.0011 0.0011 0.3362  7 Ga 3.33-3.62, 4 Al 3.38-3.67, 1 Ac 3.70
Ac 0.1857 0.1857 0.1043  6 Ga 3.30-3.57, 2 Al 3.45
Ac 0.8143 0.8143 0.8957  6 Ga 3.30-3.57, 2 Al 3.45
Ac 0.9989 0.9989 0.6638  7 Ga 3.33-3.62, 4 Al 3.38-3.67, 1 Ac 3.70
Al 0.2919 0.2919 0.6572  4 Ga 2.69-2.75
Al 0.7081 0.7081 0.3428  4 Ga 2.69-2.75
Ga 0.3328 0.3328 0.4369  3 Al 2.69-2.75
Ga 0.4848 0.4848 0.1146  1 Al 2.72, 1 Ga 2.77
Ga 0.5152 0.5152 0.8854  1 Al 2.72, 1 Ga 2.77
Ga 0.6672 0.6672 0.5631  3 Al 2.69-2.75

***

(3)
## Ac3Al4Ga4 (PBE)

Data for crystalline Ac3Al4Ga4 at its relaxed geometry.

Values from the calculation:
Formation energy   -0.51 eV/atom
Energy above the most stable polymorph in this dataset   0.0 meV per atom
Raw total energy   -4.093 eV/atom
Spin magnetization   0.000 μB per atom

Unit cell a=13.4871 b=13.4871 c=13.4871 alpha=161.03 beta=160.38 gamma=27.43
Closest atoms and distances in Å follow each position.
Fractional coordinates of all 11 atoms:
Ac 0.0000 0.0000 0.0000  4 Al 3.40, 8 Ga 3.44
Ac 0.1466 0.6466 0.5000  6 Ga 3.43-3.45, 8 Al 3.46-3.57
Ac 0.8534 0.3534 0.5000  6 Ga 3.43-3.45, 8 Al 3.46-3.57
Al 0.2491 0.2491 0.0000  4 Ga 2.67-2.71
Al 0.4042 0.9042 0.5000  3 Ga 2.54-2.58
Al 0.5958 0.0958 0.5000  3 Ga 2.54-2.58
Al 0.7509 0.7509 0.0000  4 Ga 2.67-2.71
Ga 0.3056 0.8056 0.5000  5 Al 2.58-2.71
Ga 0.4514 0.4514 0.0000  2 Al 2.54, 1 Ga 2.55
Ga 0.5486 0.5486 0.0000  2 Al 2.54, 1 Ga 2.55
Ga 0.6944 0.1944 0.5000  5 Al 2.58-2.71

***

(4)
## Ac3Al2Ga4 (PBE)

Data for crystalline Ac3Al2Ga4 at its relaxed geometry.

Values from the calculation:
Formation energy   -0.52 eV/atom
Energy above the most stable polymorph in this dataset   56.7 meV per atom
Raw total energy   -4.063 eV/atom
Spin magnetization   0.000 μB per atom

Unit cell a=6.4997 b=6.4997 c=9.2381 alpha=110.60 beta=110.60 gamma=39.96
Closest atoms and distances in Å follow each position.
Fractional coordinates of all 9 atoms:
Ac 0.0000 0.0000 0.0000  8 Ga 3.44-3.56, 4 Al 3.59
Ac 0.3888 0.3888 0.3199  7 Ga 3.24-3.48, 3 Al 3.41-3.52, 1 Ac 3.42
Ac 0.6112 0.6112 0.6801  7 Ga 3.24-3.48, 3 Al 3.41-3.52, 1 Ac 3.42
Al 0.3270 0.3270 0.6943  4 Ga 2.60-2.83
Al 0.6730 0.6730 0.3057  4 Ga 2.60-2.83
Ga 0.1242 0.1242 0.4155  3 Al 2.60-2.83
Ga 0.2721 0.2721 0.9424  2 Ga 2.60, 1 Al 2.62
Ga 0.7279 0.7279 0.0576  2 Ga 2.60, 1 Al 2.62
Ga 0.8758 0.8758 0.5845  3 Al 2.60-2.83

***

(5)
## Ac2Al3Ga5 (PBE)

Data for crystalline Ac2Al3Ga5 at its relaxed geometry.

Values from the calculation:
Formation energy   -0.44 eV/atom
Raw total energy   -3.900 eV/atom
Spin magnetization   0.000 μB per atom

Unit cell a=8.9569 b=8.9569 c=8.9569 alpha=109.60 beta=86.05 gamma=137.18
Closest atoms and distances in Å follow each position.
Fractional coordinates of all 20 atoms:
Ac 0.1262 0.2425 0.3686  10 Ga 3.42-3.53, 7 Al 3.52-3.70
Ac 0.3738 0.7425 0.1163  10 Ga 3.42-3.53, 7 Al 3.52-3.70
Ac 0.6262 0.2575 0.8837  10 Ga 3.42-3.53, 7 Al 3.52-3.70
Ac 0.8738 0.7575 0.6314  10 Ga 3.42-3.53, 7 Al 3.52-3.70
Al 0.1296 0.8839 0.0136  5 Ga 2.57-2.66
Al 0.2500 0.7500 0.5000  4 Ga 2.65
Al 0.3704 0.3839 0.7543  5 Ga 2.57-2.66
Al 0.6296 0.6161 0.2457  5 Ga 2.57-2.66
Al 0.7500 0.2500 0.5000  4 Ga 2.65
Al 0.8704 0.1161 0.9864  5 Ga 2.57-2.66
Ga 0.0111 0.7500 0.2611  2 Al 2.66, 2 Ga 2.67
Ga 0.1179 0.6353 0.7532  3 Al 2.57-2.65, 2 Ga 2.67
Ga 0.2500 0.2500 0.0000  4 Al 2.64
Ga 0.3821 0.1353 0.5174  3 Al 2.57-2.65, 2 Ga 2.67
Ga 0.4889 0.7500 0.7389  2 Al 2.66, 2 Ga 2.67
Ga 0.5111 0.2500 0.2611  2 Al 2.66, 2 Ga 2.67
Ga 0.6179 0.8647 0.4826  3 Al 2.57-2.65, 2 Ga 2.67
Ga 0.7500 0.7500 0.0000  4 Al 2.64
Ga 0.8821 0.3647 0.2468  3 Al 2.57-2.65, 2 Ga 2.67
Ga 0.9889 0.2500 0.7389  2 Al 2.66, 2 Ga 2.67

***

(6)
## Ac3Al2Ga3 (PBE)

Data for crystalline Ac3Al2Ga3 at its relaxed geometry.

Values from the calculation:
Formation energy   -0.50 eV/atom
Raw total energy   -4.109 eV/atom
Spin magnetization   0.000 μB per atom

Unit cell a=6.4651 b=6.4651 c=16.5679 alpha=90.00 beta=90.00 gamma=139.71
Closest atoms and distances in Å follow each position.
Fractional coordinates of all 16 atoms:
Ac 0.0392 0.9608 0.7500  5 Ga 3.30-3.54, 4 Al 3.36
Ac 0.3479 0.6521 0.5937  7 Ga 3.39-3.60, 4 Al 3.39-3.57
Ac 0.3479 0.6521 0.9063  7 Ga 3.39-3.60, 4 Al 3.39-3.57
Ac 0.6521 0.3479 0.0937  7 Ga 3.39-3.60, 4 Al 3.39-3.57
Ac 0.6521 0.3479 0.4063  7 Ga 3.39-3.60, 4 Al 3.39-3.57
Ac 0.9608 0.0392 0.2500  5 Ga 3.30-3.54, 4 Al 3.36
Al 0.3600 0.6400 0.1169  3 Ga 2.59-2.68
Al 0.3600 0.6400 0.3831  3 Ga 2.59-2.68
Al 0.6400 0.3600 0.6169  3 Ga 2.59-2.68
Al 0.6400 0.3600 0.8831  3 Ga 2.59-2.68
Ga 0.0746 0.9254 0.5526  1 Ga 2.51, 2 Al 2.59
Ga 0.0746 0.9254 0.9474  1 Ga 2.51, 2 Al 2.59
Ga 0.2340 0.7660 0.2500  2 Al 2.68
Ga 0.7660 0.2340 0.7500  2 Al 2.68
Ga 0.9254 0.0746 0.0526  1 Ga 2.51, 2 Al 2.59
Ga 0.9254 0.0746 0.4474  1 Ga 2.51, 2 Al 2.59

***

(7)
## Ac8Al2Ga (PBE)

Data for crystalline Ac8Al2Ga at its relaxed geometry.

Values from the calculation:
Formation energy   -0.13 eV/atom
Raw total energy   -4.077 eV/atom
Spin magnetization   0.000 μB per atom

Unit cell a=10.5030 b=10.5030 c=7.5487 alpha=103.50 beta=103.50 gamma=30.52
Closest atoms and distances in Å follow each position.
Fractional coordinates of all 11 atoms:
Ac 0.0209 0.0209 0.2744  2 Ga 3.33, 1 Al 3.41, 1 Ac 3.70
Ac 0.2078 0.2078 0.8114  3 Al 3.34-3.59
Ac 0.3404 0.3404 0.5307  1 Ga 3.30, 3 Al 3.39-3.40
Ac 0.4069 0.4069 0.0403  1 Ga 3.53, 2 Al 3.68, 5 Ac 3.76-3.94
Ac 0.5931 0.5931 0.9597  1 Ga 3.53, 2 Al 3.68, 5 Ac 3.76-3.94
Ac 0.6596 0.6596 0.4693  1 Ga 3.30, 3 Al 3.39-3.40
Ac 0.7922 0.7922 0.1886  3 Al 3.34-3.59
Ac 0.9791 0.9791 0.7256  2 Ga 3.33, 1 Al 3.41, 1 Ac 3.70
Al 0.1847 0.1847 0.2341  9 Ac 3.34-3.68
Al 0.8153 0.8153 0.7659  9 Ac 3.34-3.68
Ga 0.5000 0.5000 0.5000  8 Ac 3.30-3.53

***

(8)
## AcAl2Ga (PBE)

Data for crystalline AcAl2Ga at its relaxed geometry.

Values from the calculation:
Formation energy   -0.03 eV/atom
Raw total energy   -3.686 eV/atom
Spin magnetization   0.000 μB per atom

Unit cell a=4.4871 b=5.0011 c=5.0011 alpha=82.41 beta=90.00 gamma=90.00
Closest atoms and distances in Å follow each position.
Fractional coordinates of all 4 atoms:
Ac 0.0000 0.0000 0.0000  8 Al 3.39-3.42, 2 Ga 3.70
Al 0.5000 0.5106 0.8888  1 Al 2.49, 2 Ga 2.51-2.63
Al 0.5000 0.8888 0.5106  1 Al 2.49, 2 Ga 2.51-2.63
Ga 0.5000 0.3915 0.3915  4 Al 2.51-2.63